(1)
A plane-wave DFT calculation with GGA-PBEsol was carried out for a geometry-optimized YMgAu2 structure.

Geometry as POSCAR:
```
YMgAu2
1.0
3.672 0.000 0.000
0.000 4.406 0.000
-1.836 0.000 5.255
Mg Y Au
1 1 2
direct
0.517 0.000 0.035
0.232 0.500 0.464
0.790 0.000 0.580
0.960 0.500 0.921
```

Computed properties:
As for the crystal system: orthorhombic. As for the formation energy: -16.07 kcal/mol of atoms. As for the theoretical density: 9.90 Mg/m³.

(2)
A plane-wave DFT calculation with GGA-PBEsol was carried out for a geometry-optimized Ir2WBr structure.

Geometry as POSCAR:
```
Ir2WBr
1.0
-0.584 -3.382 -1.996
3.711 -1.108 0.792
-1.232 -1.749 3.325
Ir Br W
2 1 1
direct
0.000 0.500 0.000
0.000 0.000 0.500
0.500 0.000 0.000
0.500 0.500 0.500
```

Computed properties:
As for the crystal system: tetragonal. For the uncorrected formation energy, the calculation gives 1220 meV per atom. As for the offset from the most stable computed form: 543 meV per atom. As for the theoretical density: 17.35 Mg/m³.

(3)
A plane-wave DFT calculation with GGA-PBEsol was carried out for a geometry-optimized Ba2Zn7F18 structure.

Geometry as POSCAR:
```
Ba2Zn7F18
1.0
7.016 0.000 -0.013
-3.235 6.552 0.007
-0.390 -0.811 7.431
F Zn Ba
18 7 2
direct
0.921 0.717 0.570
0.520 0.440 0.675
0.101 0.604 0.287
0.887 0.228 0.076
0.908 0.875 0.236
0.301 0.177 0.124
0.899 0.396 0.713
0.699 0.823 0.876
0.319 0.512 0.972
0.681 0.488 0.028
0.079 0.283 0.430
0.113 0.772 0.924
0.499 0.071 0.814
0.501 0.929 0.186
0.092 0.125 0.764
0.716 0.990 0.555
0.480 0.560 0.325
0.284 0.010 0.445
0.608 0.730 0.123
0.000 0.000 0.500
0.808 0.129 0.821
0.392 0.270 0.877
0.192 0.871 0.179
0.821 0.620 0.806
0.179 0.380 0.194
0.315 0.689 0.631
0.685 0.311 0.369
```

Computed properties:
As for the crystal system: triclinic. For the uncorrected formation energy, the calculation gives -2674 meV per atom. As for the theoretical density: 5.22 Mg/m³.

(4)
A plane-wave DFT calculation with GGA-PBEsol was carried out for a geometry-optimized SiMoIO2 structure.

Geometry as POSCAR:
```
SiMoIO2
1.0
-1.603 -1.891 -2.701
2.471 -2.677 0.408
-3.478 -2.617 3.897
Si I Mo O
1 1 1 2
direct
0.000 0.000 0.000
0.000 0.000 0.500
0.500 0.500 0.500
0.500 0.000 0.000
0.000 0.500 0.000
```

Computed properties:
As for the crystal system: tetragonal. For the uncorrected formation energy, the calculation gives -17 meV per atom. As for the theoretical density: 5.98 Mg/m³.

no.,magnetization (μB/cell),density of states at the Fermi level (states/eV/atom)
1,0.00,0.5023
2,0.00,1.3310
3,0.00,0.0000
4,3.74,0.3721